1.
Computed, not measured: crystalline Zr4Al2CN at its relaxed geometry at the PBE level of DFT.

Results
The crystal system is trigonal.

Cell lengths 3.2978, 3.2978, 14.4231 Å; angles 90.00, 90.00, 120.00 degrees
Positions (direct):
Al1 0.6667 0.3333 0.2518
Al2 0.3333 0.6667 0.7482
C1 0.0000 0.0000 0.0000
N1 0.0000 0.0000 0.5000
Zr1 0.3333 0.6667 0.0886
Zr2 0.3333 0.6667 0.4126
Zr3 0.6667 0.3333 0.5874
Zr4 0.6667 0.3333 0.9114


2.
Computed, not measured: crystalline SiBMo2 at its relaxed geometry at the PBE level of DFT.

Results
The crystal system is hexagonal.

Cell lengths 3.2179, 3.2179, 11.7469 Å; angles 90.00, 90.00, 120.00 degrees
Positions (direct):
B1 0.0000 0.0000 0.0000
B2 0.0000 0.0000 0.5000
Mo1 0.3333 0.6667 0.1017
Mo2 0.3333 0.6667 0.3983
Mo3 0.6667 0.3333 0.6017
Mo4 0.6667 0.3333 0.8983
Si1 0.6667 0.3333 0.2500
Si2 0.3333 0.6667 0.7500


3.
Computed, not measured: crystalline PrScAu at its relaxed geometry at the PBE level of DFT.

Results
The crystal system is cubic. Its energy relative to the elements is 0.02 eV per atom.

Cell lengths 4.7807, 4.7807, 4.7807 Å; angles 60.00, 60.00, 60.00 degrees
Positions (direct):
Au1 0.2500 0.2500 0.2500
Pr1 0.7500 0.7500 0.7500
Sc1 0.0000 0.0000 0.0000


4.
Computed, not measured: crystalline Sm2Ga3Pt4 at its relaxed geometry at the PBE level of DFT.

Results
The crystal system is orthorhombic.

Cell lengths 8.2571, 8.2571, 7.6365 Å; angles 90.00, 90.00, 139.86 degrees
Positions (direct):
Ga1 0.0000 0.0000 0.0000
Ga2 0.4796 0.0204 0.2500
Ga3 0.9796 0.5204 0.2500
Ga4 0.5000 0.5000 0.5000
Ga5 0.0204 0.4796 0.7500
Ga6 0.5204 0.9796 0.7500
Pt1 0.8180 0.1820 0.0239
Pt2 0.3102 0.1898 0.2500
Pt3 0.8102 0.6898 0.2500
Pt4 0.3180 0.6820 0.4761
Pt5 0.6820 0.3180 0.5239
Pt6 0.1898 0.3102 0.7500
Pt7 0.6898 0.8102 0.7500
Pt8 0.1820 0.8180 0.9761
Sm1 0.3921 0.6079 0.0909
Sm2 0.8921 0.1079 0.4091
Sm3 0.1079 0.8921 0.5909
Sm4 0.6079 0.3921 0.9091


5.
Computed, not measured: crystalline ZnCuAg at its relaxed geometry at the PBE level of DFT.

Results
The crystal system is orthorhombic. Its energy relative to the elements is 0.00 eV per atom.

Cell lengths 5.5655, 4.1132, 7.7448 Å; angles 90.00, 90.00, 90.00 degrees
Positions (direct):
Ag1 0.9584 0.2500 0.2341
Ag2 0.4584 0.2500 0.2659
Ag3 0.5416 0.7500 0.7341
Ag4 0.0416 0.7500 0.7659
Cu1 0.6760 0.7500 0.0733
Cu2 0.1760 0.7500 0.4267
Cu3 0.8240 0.2500 0.5733
Cu4 0.3240 0.2500 0.9267
Zn1 0.2040 0.7500 0.0948
Zn2 0.7040 0.7500 0.4052
Zn3 0.2960 0.2500 0.5948
Zn4 0.7960 0.2500 0.9052


6.
Computed, not measured: crystalline ErAlB14 at its relaxed geometry at the PBE level of DFT.

Results
The crystal system is orthorhombic.

Cell lengths 5.8922, 7.2634, 7.2634 Å; angles 91.88, 113.93, 113.93 degrees
Positions (direct):
Al1 0.0000 0.5000 0.0000
Al2 0.5000 0.5000 0.0000
B1 0.3744 0.7311 0.0178
B2 0.1997 0.8719 0.0319
B3 0.7041 0.8719 0.0319
B4 0.1673 0.2570 0.0775
B5 0.0339 0.8666 0.2012
B6 0.3254 0.1011 0.2238
B7 0.9996 0.1011 0.2238
B8 0.3744 0.5178 0.2311
B9 0.8327 0.4225 0.2430
B10 0.0339 0.7012 0.3666
B11 0.1997 0.5319 0.3719
B12 0.7041 0.5319 0.3719
B13 0.0004 0.2762 0.3989
B14 0.6746 0.2762 0.3989
B15 0.3254 0.7238 0.6011
B16 0.9996 0.7238 0.6011
B17 0.2959 0.4681 0.6281
B18 0.8003 0.4681 0.6281
B19 0.9661 0.2988 0.6334
B20 0.1673 0.5775 0.7570
B21 0.6256 0.4822 0.7689
B22 0.0004 0.8989 0.7762
B23 0.6746 0.8989 0.7762
B24 0.9661 0.1334 0.7988
B25 0.8327 0.7430 0.9225
B26 0.2959 0.1281 0.9681
B27 0.8003 0.1281 0.9681
B28 0.6256 0.2689 0.9822
Er1 0.6506 0.9006 0.4006
Er2 0.3494 0.0994 0.5994


7.
Computed, not measured: crystalline NdCd at its relaxed geometry at the PBE level of DFT.

Results
The crystal system is cubic. Its energy relative to the elements is -0.33 eV per atom.

Cell lengths 3.8356, 3.8356, 3.8356 Å; angles 90.00, 90.00, 90.00 degrees
Positions (direct):
Cd1 0.0000 0.0000 0.0000
Nd1 0.5000 0.5000 0.5000


8.
Computed, not measured: crystalline Sr2ScOsN6 at its relaxed geometry at the PBE level of DFT.

Results
The crystal system is trigonal.

Cell lengths 5.7779, 5.7779, 5.7779 Å; angles 59.27, 59.27, 59.27 degrees
Positions (direct):
N1 0.7539 0.2628 0.2597
N2 0.2597 0.7539 0.2628
N3 0.7353 0.7378 0.2818
N4 0.7378 0.2818 0.7353
N5 0.2818 0.7353 0.7378
N6 0.2628 0.2597 0.7539
Os1 0.4810 0.4810 0.4810
Sc1 0.9970 0.9970 0.9970
Sr1 0.2454 0.2454 0.2454
Sr2 0.7494 0.7494 0.7494


9.
Computed, not measured: crystalline Rb2ZrAgCl6 at its relaxed geometry at the PBE level of DFT.

Results
The crystal system is monoclinic.

Cell lengths 7.4378, 7.4378, 7.4370 Å; angles 119.95, 119.95, 60.05 degrees
Positions (direct):
Ag1 0.5000 0.5000 0.0000
Cl1 0.7576 0.7576 0.2565
Cl2 0.7585 0.2430 0.2582
Cl3 0.2430 0.7585 0.2582
Cl4 0.7570 0.2415 0.7418
Cl5 0.2415 0.7570 0.7418
Cl6 0.2424 0.2424 0.7435
Rb1 0.2501 0.2501 0.2501
Rb2 0.7499 0.7499 0.7499
Zr1 0.0000 0.0000 0.5000


10.
Computed, not measured: crystalline AcPu at its relaxed geometry at the PBE level of DFT.

Results
The crystal system is cubic. Its energy relative to the elements is 1.23 eV per atom.

Cell lengths 4.2501, 4.2501, 4.2501 Å; angles 60.00, 60.00, 60.00 degrees
Positions (direct):
Ac1 0.0000 0.0000 0.0000
Pu1 0.5000 0.5000 0.5000


11.
Computed, not measured: crystalline Be2SiNi at its relaxed geometry at the PBE level of DFT.

Results
The crystal system is tetragonal.

Cell lengths 4.1772, 4.1772, 4.1772 Å; angles 132.51, 132.51, 69.43 degrees
Positions (direct):
Be1 0.7500 0.2500 0.5000
Be2 0.2500 0.7500 0.5000
Ni1 0.5000 0.5000 0.0000
Si1 0.0000 0.0000 0.0000


12.
Computed, not measured: crystalline ErNbB4 at its relaxed geometry at the PBE level of DFT.

Results
The crystal system is hexagonal.

Cell lengths 3.1468, 3.1468, 7.2043 Å; angles 90.00, 90.00, 120.00 degrees
Positions (direct):
B1 0.6667 0.3333 0.2326
B2 0.3333 0.6667 0.2326
B3 0.6667 0.3333 0.7674
B4 0.3333 0.6667 0.7674
Er1 0.0000 0.0000 0.5000
Nb1 0.0000 0.0000 0.0000


no.,energy (eV for the cell shown)
1,-66.1
2,-70.2
3,-14.3
4,-103.4
5,-31.2
6,-208.8
7,-6.3
8,-72.5
9,-39.8
10,-15.8
11,-19.4
12,-46.0